1.
This record from Alexandria via LeMat-Bulk describes a geometry-optimized AlSbIr2 structure. The functional is GGA-PBE.

The value obtained for the uncorrected formation energy is -0.17 eV/atom. The energy above the most stable polymorph in this dataset comes out at 107.6 meV per atom. The energy is -6.5699 eV per atom.

It has space group R-3m (No. 166, hexagonal axes), with a = 3.0070 Å, b = 3.0070 Å, c = 25.1555 Å, α = 90.00°, β = 90.00° and γ = 120.00°. The asymmetric unit holds Al at (0.0000, 0.0000, 0.0000), Sb at (0.0000, 0.0000, 0.5000) and Ir at (0.0000, 0.0000, 0.2561).

---

2.
This record from Alexandria via LeMat-Bulk describes a geometry-optimized AlSbIr2 structure. The functional is GGA-PBE.

The value obtained for the uncorrected formation energy is -0.19 eV/atom. The energy above the most stable polymorph in this dataset comes out at 93.2 meV per atom. The energy is -6.5843 eV per atom.

It has space group P4/mmm (No. 123), with a = 4.1929 Å, b = 4.1929 Å, c = 3.6429 Å, α = 90.00°, β = 90.00° and γ = 90.00°. The asymmetric unit holds Al at (0.0000, 0.0000, 0.0000), Sb at (0.5000, 0.5000, 0.0000) and Ir at (0.0000, 0.5000, 0.5000).

---

3.
This record from Alexandria via LeMat-Bulk describes a geometry-optimized AlSbIr structure. The functional is GGA-PBE.

The value obtained for the uncorrected formation energy is 0.01 eV/atom. The energy is -5.5649 eV per atom.

It has space group I4mm (No. 107), with a = 3.6535 Å, b = 3.6535 Å, c = 8.0546 Å, α = 90.00°, β = 90.00° and γ = 90.00°. The asymmetric unit holds Al at (0.0000, 0.0000, 0.0000), Sb at (0.0000, 0.0000, 0.3259) and Ir at (0.0000, 0.0000, 0.6610).

---

4.
This record from Alexandria via LeMat-Bulk describes a geometry-optimized AlSbIr3 structure. The functional is GGA-PBE.

The value obtained for the uncorrected formation energy is 1.56 eV/atom. The energy above the most stable polymorph in this dataset comes out at 717.7 meV per atom. The energy is -5.3254 eV per atom.

It has space group Pm-3m (No. 221), with a = 4.8187 Å, b = 4.8187 Å, c = 4.8187 Å, α = 90.00°, β = 90.00° and γ = 90.00°. The asymmetric unit holds Al at (0.0000, 0.0000, 0.0000), Sb at (0.5000, 0.5000, 0.5000) and Ir at (0.0000, 0.5000, 0.5000).

---

5.
This record from Alexandria via LeMat-Bulk describes a geometry-optimized AlSbIr2 structure. The functional is GGA-PBE.

The value obtained for the uncorrected formation energy is -0.13 eV/atom. The energy above the most stable polymorph in this dataset comes out at 153.4 meV per atom. The energy is -6.5241 eV per atom.

It has space group Fm-3m (No. 225), with a = 6.3767 Å, b = 6.3767 Å, c = 6.3767 Å, α = 90.00°, β = 90.00° and γ = 90.00°. The asymmetric unit holds Al at (0.0000, 0.0000, 0.0000), Sb at (0.0000, 0.0000, 0.5000) and Ir at (0.2500, 0.2500, 0.2500).

---

6.
This record from Alexandria via LeMat-Bulk describes a geometry-optimized AlSbIr2 structure. The functional is GGA-PBE.

The value obtained for the uncorrected formation energy is 0.25 eV/atom. The energy above the most stable polymorph in this dataset comes out at 527.2 meV per atom. The energy is -6.1503 eV per atom.

It has space group I-42d (No. 122), with a = 5.4047 Å, b = 5.4047 Å, c = 12.5813 Å, α = 90.00°, β = 90.00° and γ = 90.00°. The asymmetric unit holds Al at (0.0000, 0.0000, 0.0000), Sb at (0.0000, 0.0000, 0.5000) and Ir at (0.2228, 0.2500, 0.1250).

---

What is the formula in the fourth record? AlSbIr3